Computed, not measured: a geometry-optimized TbHo2Ga6 structure at the PBE level of DFT.

Cell: 4.2971 6.9773 13.2927 Å, 90.00 90.00 90.00°
Space group Immm (No. 71)
Symmetry-distinct sites (fractional):
Tb 0.0000 0.0000 0.0000 [2 per cell]
Ho 0.0000 0.5000 0.1255 [4 per cell]
Ga 0.0000 0.1888 0.5000 [4 per cell]
Ga 0.0000 0.3069 0.3152 [8 per cell]

Summary:
M_tot = 0.0 μB/f.u.
Crystal system = orthorhombic
ΔE_f = -0.47 eV/atom
Calculated density = 7.56 g/cm3
DOS(E_F) = 0.51 states/eV per atom